Compound: ZnNi4
Source: Alexandria via LeMat-Bulk
Functional: SCAN
Structure: single point on PBEsol structure

Structure (POSCAR):
```
ZnNi4
1.0
-2.0087 1.2493 2.5991
-3.8796 -1.8064 0.2461
0.4191 -2.1038 3.7112
Ni Zn
4 1
Direct
0.1968 0.4026 0.2039
0.5994 0.2039 0.5974
0.8032 0.5974 0.7961
0.4006 0.7961 0.4026
0.0000 0.0000 0.0000
```

## Properties
**Symmetry**: I4/m (87)
**E above lowest polymorph**: 0.0000 eV per atom
**E**: -15.71 eV/atom
**Energy relative to the elements**: -0.073 eV/atom



Compound: Zn2Ni
Source: Alexandria via LeMat-Bulk
Functional: SCAN
Structure: single point on PBEsol structure

Structure (POSCAR):
```
Zn2Ni
1.0
-0.3146 -1.6403 -1.9701
6.9720 -0.6071 -0.6079
-3.5527 -4.3662 4.2026
Ni Zn
3 6
Direct
0.5000 0.0000 0.0000
0.0000 0.6667 0.3333
0.0000 0.3333 0.6667
0.0000 0.0000 0.2999
0.5000 0.0000 0.6308
0.0000 0.7001 0.7001
0.0000 0.2999 0.0000
0.5000 0.3692 0.3692
0.5000 0.6308 0.0000
```

## Properties
**Symmetry**: P-62m (189)
**E**: -14.54 eV/atom
**Energy relative to the elements**: -0.135 eV/atom



Compound: Zn3Ni
Source: Alexandria via LeMat-Bulk
Functional: SCAN
Structure: single point on PBEsol structure

Structure (POSCAR):
```
Zn3Ni
1.0
-0.4463 -2.3978 -1.0727
4.1873 -1.2070 0.9558
-2.6389 -1.0483 3.4411
Ni Zn
1 3
Direct
0.0000 0.0000 0.0000
0.5000 0.0000 0.5000
0.5000 0.5000 0.0000
0.0000 0.5000 0.5000
```

## Properties
**Symmetry**: Cmmm (65)
**E**: -14.29 eV/atom
**Energy relative to the elements**: -0.108 eV/atom



Compound: ZnNi
Source: Alexandria via LeMat-Bulk
Functional: SCAN
Structure: single point on PBEsol structure

Structure (POSCAR):
```
ZnNi
1.0
2.6080 0.0000 0.0000
0.0000 4.2357 0.0109
-1.3040 -1.6995 4.1851
Ni Zn
2 2
Direct
0.1285 0.3090 0.2569
0.8715 0.6909 0.7431
0.6194 0.8036 0.2388
0.3806 0.1964 0.7612
```

## Properties
**Symmetry**: C2/m (12)
**E**: -15.01 eV/atom
**Energy relative to the elements**: -0.162 eV/atom



Compound: ZnNi
Source: Alexandria via LeMat-Bulk
Functional: SCAN
Structure: single point on PBEsol structure

Structure (POSCAR):
```
ZnNi
1.0
2.6004 0.0000 0.0000
0.0000 2.6004 0.0000
0.0000 0.0000 6.9665
Ni Zn
2 2
Direct
0.5000 0.0000 0.1151
0.0000 0.5000 0.8849
0.5000 0.0000 0.6468
0.0000 0.5000 0.3532
```

## Properties
**Symmetry**: P4/nmm (129)
**E**: -14.91 eV/atom
**Energy relative to the elements**: -0.071 eV/atom



Compound: Zn5Ni3
Source: Alexandria via LeMat-Bulk
Functional: SCAN
Structure: single point on PBEsol structure

Structure (POSCAR):
```
Zn5Ni3
1.0
3.7398 0.0000 0.0000
0.0000 5.0633 -0.0345
0.0000 -0.1458 5.0613
Ni Zn
3 5
Direct
0.0000 0.5000 0.5000
0.5000 0.7648 0.2352
0.5000 0.2352 0.7648
0.0000 0.0000 0.0000
0.0000 0.5000 0.0000
0.0000 0.0000 0.5000
0.5000 0.7281 0.7281
0.5000 0.2719 0.2719
```

## Properties
**Symmetry**: Cmmm (65)
**E**: -14.69 eV/atom
**Energy relative to the elements**: -0.178 eV/atom



Compound: Zn2Ni
Source: Alexandria via LeMat-Bulk
Functional: SCAN
Structure: single point on PBEsol structure

Structure (POSCAR):
```
Zn2Ni
1.0
-1.0373 -0.9207 2.1782
-3.3055 -1.2140 -2.0872
1.7682 -3.6266 -0.6909
Ni Zn
1 2
Direct
0.5000 0.0000 0.0000
0.0000 0.5000 0.0000
0.0000 0.0000 0.5000
```

## Properties
**Symmetry**: P4/mmm (123)
**E**: -14.58 eV/atom
**Energy relative to the elements**: -0.180 eV/atom



Compound: Zn3Ni
Source: Alexandria via LeMat-Bulk
Functional: SCAN
Structure: single point on PBEsol structure

Structure (POSCAR):
```
Zn3Ni
1.0
2.6564 0.0000 0.0000
0.0000 4.1632 0.0000
0.0000 0.0000 4.5293
Ni Zn
1 3
Direct
0.0000 0.0000 0.9999
0.0000 0.5000 0.3231
0.5000 0.0000 0.5014
0.5000 0.5000 0.8423
```

## Properties
**Symmetry**: Pmm2 (25)
**E**: -14.30 eV/atom
**Energy relative to the elements**: -0.124 eV/atom



Compound: ZnNi
Source: Alexandria via LeMat-Bulk
Functional: SCAN
Structure: single point on PBEsol structure

Structure (POSCAR):
```
ZnNi
1.0
2.5947 0.0000 0.0000
-1.2974 4.5954 0.0084
0.0000 -1.7437 5.8244
Ni Zn
3 3
Direct
0.0063 0.0126 0.0033
0.3912 0.7824 0.2711
0.3283 0.6566 0.6723
0.6732 0.3464 0.3367
0.0397 0.0795 0.6067
0.7279 0.4557 0.9433
```

## Properties
**Symmetry**: Cm (8)
**E**: -14.98 eV/atom
**Energy relative to the elements**: -0.140 eV/atom



Compound: Zr2ZnNi
Source: Alexandria via LeMat-Bulk
Functional: SCAN
Structure: single point on PBEsol structure

Structure (POSCAR):
```
Zr2ZnNi
1.0
3.2454 0.0000 0.0237
0.0000 3.2419 0.0000
-0.0435 0.0000 6.4025
Ni Zn Zr
1 1 2
Direct
0.5000 0.5000 0.0000
0.5000 0.5000 0.5000
0.9999 0.0000 0.7606
0.0001 0.0000 0.2394
```

## Properties
**Symmetry**: P4/mmm (123)
**E**: -23.11 eV/atom
**Energy relative to the elements**: -0.341 eV/atom



Compound: Zr2ZnNi
Source: Alexandria via LeMat-Bulk
Functional: SCAN
Structure: single point on PBEsol structure

Structure (POSCAR):
```
Zr2ZnNi
1.0
4.5482 0.0000 0.0000
2.2741 3.9389 0.0000
2.2741 1.3130 3.7136
Ni Zn Zr
1 1 2
Direct
0.5000 0.5000 0.5000
0.2500 0.2500 0.2500
0.0000 0.0000 0.0000
0.7500 0.7500 0.7500
```

## Properties
**Symmetry**: F-43m (216)
**E**: -22.75 eV/atom
**Energy relative to the elements**: 0.017 eV/atom



Compound: Zr2ZnNi
Source: Alexandria via LeMat-Bulk
Functional: SCAN
Structure: single point on PBEsol structure

Structure (POSCAR):
```
Zr2ZnNi
1.0
-2.0094 -0.9086 -2.6257
-0.9269 -3.2775 -0.3954
-6.8928 -0.2199 3.1120
Ni Zn Zr
1 1 2
Direct
0.5000 0.5000 0.5000
0.0000 0.0000 0.0000
0.2401 0.2401 0.2798
0.7599 0.7599 0.7202
```

## Properties
**Symmetry**: R-3m (166)
**E**: -22.88 eV/atom
**Energy relative to the elements**: -0.111 eV/atom



Compound: ZrZn2Ni
Source: Alexandria via LeMat-Bulk
Functional: SCAN
Structure: single point on PBEsol structure

Structure (POSCAR):
```
ZrZn2Ni
1.0
2.8883 0.0000 0.0278
0.0000 3.1298 0.0000
-0.0622 0.0000 6.5186
Ni Zn Zr
1 2 1
Direct
0.5000 0.5000 0.7792
0.9999 0.0000 0.9814
0.5001 0.5000 0.2138
0.0000 0.0000 0.5256
```

## Properties
**Symmetry**: Pmm2 (25)
**E**: -18.73 eV/atom
**Energy relative to the elements**: -0.256 eV/atom



Compound: Zr2ZnNi
Source: Alexandria via LeMat-Bulk
Functional: SCAN
Structure: single point on PBEsol structure

Structure (POSCAR):
```
Zr2ZnNi
1.0
-0.7493 -2.1531 2.3197
-1.4155 -2.5766 -2.8488
5.0496 -0.9962 -1.6081
Ni Zn Zr
1 1 2
Direct
0.3015 0.0000 0.4790
0.4479 0.5000 0.7696
0.0255 0.0000 0.9244
0.7250 0.5000 0.3269
```

## Properties
**Symmetry**: Pm (6)
**E**: -23.13 eV/atom
**Energy relative to the elements**: -0.360 eV/atom



Compound: ZrZnNi2
Source: Alexandria via LeMat-Bulk
Functional: SCAN
Structure: single point on PBEsol structure

Structure (POSCAR):
```
ZrZnNi2
1.0
3.0743 0.0000 0.0000
0.0000 3.0728 0.0000
0.0000 0.0000 5.8242
Ni Zn Zr
2 1 1
Direct
0.0000 0.0000 0.7777
0.0000 0.0000 0.2223
0.5000 0.5000 0.0000
0.5000 0.5000 0.5000
```

## Properties
**Symmetry**: P4/mmm (123)
**E**: -19.45 eV/atom
**Energy relative to the elements**: -0.306 eV/atom



Compound: ZrZn2Ni2
Source: Alexandria via LeMat-Bulk
Functional: SCAN
Structure: single point on PBEsol structure

Structure (POSCAR):
```
ZrZn2Ni2
1.0
-0.2742 -2.7805 -2.1444
-0.7306 -2.0587 2.7628
-5.0856 3.4933 -0.9868
Ni Zn Zr
2 2 1
Direct
0.4005 0.4005 0.8010
0.5995 0.5995 0.1990
0.2500 0.7500 0.5000
0.7500 0.2500 0.5000
0.0000 0.0000 0.0000
```

## Properties
**Symmetry**: I4/mmm (139)
**E**: -18.31 eV/atom
**Energy relative to the elements**: -0.293 eV/atom



Compound: ZrZn2Ni
Source: Alexandria via LeMat-Bulk
Functional: SCAN
Structure: single point on PBEsol structure

Structure (POSCAR):
```
ZrZn2Ni
1.0
-4.3275 -0.0555 0.3144
-2.0554 -3.6879 1.0019
-1.8878 -0.4462 3.8816
Ni Zn Zr
1 2 1
Direct
0.5000 0.5000 0.5000
0.2500 0.2500 0.2500
0.0000 0.0000 0.0000
0.7500 0.7500 0.7500
```

## Properties
**Symmetry**: F-43m (216)
**E**: -18.84 eV/atom
**Energy relative to the elements**: -0.369 eV/atom



Compound: ZrZnNi4
Source: Alexandria via LeMat-Bulk
Functional: SCAN
Structure: single point on PBEsol structure

Structure (POSCAR):
```
ZrZnNi4
1.0
-4.3672 -1.3086 -1.2367
-2.4326 -2.9891 2.7317
-3.7179 1.5489 2.4684
Zr Zn Ni
1 1 4
Direct
0.0000 0.0000 0.0000
0.7500 0.7500 0.7500
0.3758 0.3758 0.8725
0.3758 0.8725 0.3758
0.3758 0.3758 0.3758
0.8725 0.3758 0.3758
```

## Properties
**Symmetry**: F-43m (216)
**E**: -18.57 eV/atom
**Energy relative to the elements**: -0.416 eV/atom



Compound: Zr3Ni4
Source: Alexandria via LeMat-Bulk
Functional: SCAN
Structure: single point on PBEsol structure

Structure (POSCAR):
```
Zr3Ni4
1.0
5.1621 0.0000 0.0000
-1.7207 6.8687 0.0000
-1.7207 -3.4343 5.9484
Ni Zr
8 6
Direct
0.5000 0.0000 0.0000
0.0000 0.0000 0.0000
0.0595 0.4927 0.3300
0.5668 0.8373 0.5073
0.7295 0.6700 0.1627
0.9405 0.5073 0.6700
0.4332 0.1627 0.4927
0.2705 0.3300 0.8373
0.9012 0.1312 0.3866
0.7700 0.2553 0.8688
0.5147 0.6134 0.7447
0.0988 0.8688 0.6134
0.2300 0.7447 0.1312
0.4853 0.3866 0.2553
```

## Properties
**Symmetry**: R-3 (148)
**E**: -22.88 eV/atom
**Energy relative to the elements**: -0.479 eV/atom



Compound: ZrNi2
Source: Alexandria via LeMat-Bulk
Functional: SCAN
Structure: single point on PBEsol structure

Structure (POSCAR):
```
ZrNi2
1.0
-0.5216 -4.5872 -1.5079
2.1723 -1.4750 -4.0857
3.7567 -3.0703 0.2192
Ni Zr
4 2
Direct
0.1250 0.1250 0.1250
0.1250 0.1250 0.6250
0.6250 0.1250 0.1250
0.1250 0.6250 0.1250
0.5000 0.5000 0.5000
0.7500 0.7500 0.7500
```

## Properties
**Symmetry**: Fd-3m (227)
**E**: -21.46 eV/atom
**Energy relative to the elements**: -0.443 eV/atom